A relaxed structure of UNi2Ir. Source: Alexandria, functional PBE.

Summary:
- Space-group type: No. 225
- ρ: 15.13 g cm⁻³
- Formation enthalpy at 0 K: -0.22 eV per atom
- Energy above the lowest structure with this stoichiometry: 0.143 eV/atom

The structure in CIF format:
```
data_UNi2Ir
_cell_length_a 4.3970
_cell_length_b 4.3970
_cell_length_c 4.3970
_cell_angle_alpha 60.00
_cell_angle_beta 60.00
_cell_angle_gamma 60.00
_space_group_name_H-M_alt 'P 1'
_space_group_IT_number 1
loop_
_space_group_symop_operation_xyz
'x,y,z'
loop_
_atom_site_label
_atom_site_type_symbol
_atom_site_fract_x
_atom_site_fract_y
_atom_site_fract_z
U1 U 0.0000 0.0000 0.0000
Ni1 Ni 0.2500 0.2500 0.2500
Ni2 Ni 0.7500 0.7500 0.7500
Ir1 Ir 0.5000 0.5000 0.5000
```